1.
VASP calculation (GGA-PBE) on a relaxed structure of Sr2MgOsO6.

a b c (Å): 5.5511 5.5511 7.9076
angles (deg): 90.00 90.00 90.00
Space group I4/m (No. 87)
One atom of each set of equivalent atoms:
Sr: 0.0000 0.5000 0.2500
Mg: 0.0000 0.0000 0.0000
Os: 0.0000 0.0000 0.5000
O: 0.0000 0.0000 0.2561
O: 0.2228 0.2657 0.5000

## Properties
total magnetization	2.0	μB/f.u.
final energy	-6.806	eV/atom

***

2.
VASP calculation (GGA-PBE) on a relaxed structure of LiLuCo2.

a b c (Å): 6.0896 6.0896 6.0896
angles (deg): 90.00 90.00 90.00
Space group F-43m (No. 216)
One atom of each set of equivalent atoms:
Li: 0.0000 0.0000 0.0000
Lu: 0.2500 0.2500 0.2500
Co: 0.0000 0.0000 0.5000
Co: 0.2500 0.2500 0.7500

## Properties
total magnetization	0.0	μB/f.u.
final energy	-4.988	eV/atom

***

3.
VASP calculation (GGA-PBE) on a relaxed structure of MgZnNiS3.

a b c (Å): 3.4967 12.0314 9.5858
angles (deg): 90.00 90.00 90.00
Space group Cmcm (No. 63)
One atom of each set of equivalent atoms:
Mg: 0.0000 0.2261 0.2500
Zn: 0.0000 0.0000 0.0000
Ni: 0.0000 0.4909 0.7500
S: 0.0000 0.1033 0.7500
S: 0.0000 0.3635 0.5763

## Properties
total magnetization	1.2	μB/f.u.
final energy	-3.962	eV/atom
energy relative to the lowest polymorph listed for this composition	0.056	eV per atom

***

4.
VASP calculation (GGA-PBE) on a relaxed structure of LiAlPtPb.

a b c (Å): 6.5658 6.5658 6.5658
angles (deg): 90.00 90.00 90.00
Space group F-43m (No. 216)
One atom of each set of equivalent atoms:
Li: 0.0000 0.0000 0.0000
Al: 0.0000 0.0000 0.5000
Pt: 0.2500 0.2500 0.2500
Pb: 0.2500 0.2500 0.7500

## Properties
total magnetization	0.0	μB/f.u.
final energy	-4.128	eV/atom
energy relative to the lowest polymorph listed for this composition	0.057	eV per atom

***

Please write out number 1 again, unchanged.
VASP calculation (GGA-PBE) on a relaxed structure of Sr2MgOsO6.

a b c (Å): 5.5511 5.5511 7.9076
angles (deg): 90.00 90.00 90.00
Space group I4/m (No. 87)
One atom of each set of equivalent atoms:
Sr: 0.0000 0.5000 0.2500
Mg: 0.0000 0.0000 0.0000
Os: 0.0000 0.0000 0.5000
O: 0.0000 0.0000 0.2561
O: 0.2228 0.2657 0.5000

## Properties
total magnetization	2.0	μB/f.u.
final energy	-6.806	eV/atom

***

Q: Number 1 is which compound?
A: Sr2MgOsO6